A plane-wave DFT calculation with PBE-GGA was carried out for a geometry-optimized Ho6AlIn structure.

Unit cell a=4.780 b=4.780 c=9.555 alpha=90.00 beta=90.00 gamma=90.00
Space group P4/mmm (No. 123)
Asymmetric unit:
Ho 0.000 0.000 0.000 (multiplicity 1)
Ho 0.000 0.000 0.500 (multiplicity 1)
Ho 0.000 0.500 0.243 (multiplicity 4)
Al 0.500 0.500 0.000 (multiplicity 1)
In 0.500 0.500 0.500 (multiplicity 1)

=====

A plane-wave DFT calculation with PBE-GGA was carried out for a geometry-optimized Ho12Al2In5 structure.

Unit cell a=12.913 b=10.423 c=7.898 alpha=90.00 beta=99.68 gamma=90.00
Space group C2/m (No. 12)
Asymmetric unit:
Ho 0.072 0.000 0.207 (multiplicity 4)
Ho 0.112 0.235 0.877 (multiplicity 8)
Ho 0.123 0.500 0.641 (multiplicity 4)
Ho 0.157 0.302 0.312 (multiplicity 8)
Al 0.000 0.192 0.500 (multiplicity 4)
In 0.000 0.500 0.000 (multiplicity 2)
In 0.163 0.000 0.593 (multiplicity 4)
In 0.241 0.500 0.025 (multiplicity 4)

=====

A plane-wave DFT calculation with PBE-GGA was carried out for a geometry-optimized Ho4Al3In structure.

Unit cell a=3.728 b=4.533 c=11.750 alpha=90.00 beta=90.00 gamma=90.00
Space group Pmm2 (No. 25)
Asymmetric unit:
Ho 0.000 0.000 0.000 (multiplicity 1)
Ho 0.000 0.500 0.303 (multiplicity 1)
Ho 0.500 0.000 0.488 (multiplicity 1)
Ho 0.500 0.500 0.811 (multiplicity 1)
Al 0.000 0.500 0.574 (multiplicity 1)
Al 0.500 0.000 0.218 (multiplicity 1)
Al 0.500 0.500 0.082 (multiplicity 1)
In 0.000 0.000 0.720 (multiplicity 1)

- offset from the most stable computed form (meV per atom) = 28

=====

A plane-wave DFT calculation with PBE-GGA was carried out for a geometry-optimized HoAlIn2 structure.

Unit cell a=4.6321 b=4.6321 c=15.8634 alpha=90.00 beta=90.00 gamma=120.00
Space group R-3m (No. 166, hexagonal axes)
Asymmetric unit:
Ho 0.0000 0.0000 0.0000 (multiplicity 3)
Al 0.0000 0.0000 0.5000 (multiplicity 3)
In 0.0000 0.0000 0.2296 (multiplicity 6)

=====

A plane-wave DFT calculation with PBE-GGA was carried out for a geometry-optimized Ho2Al2In structure.

Unit cell a=4.489 b=14.568 c=3.499 alpha=90.00 beta=90.00 gamma=90.00
Space group Cmmm (No. 65)
Asymmetric unit:
Ho 0.000 0.122 0.000 (multiplicity 4)
Al 0.000 0.298 0.500 (multiplicity 4)
In 0.000 0.500 0.500 (multiplicity 2)

- offset from the most stable computed form (meV per atom) = 0

=====

A plane-wave DFT calculation with PBE-GGA was carried out for a geometry-optimized HoAlIn structure.

Unit cell a=4.7506 b=4.7506 c=3.4971 alpha=90.00 beta=90.00 gamma=120.00
Space group P3m1 (No. 156)
Asymmetric unit:
Ho 0.0000 0.0000 0.0000 (multiplicity 1)
Al 0.3333 0.6667 0.4989 (multiplicity 1)
In 0.6667 0.3333 0.5008 (multiplicity 1)

=====

Formation energy from the elements
In order: -0.23, -0.22, -0.38, -0.13, -0.47, -0.42
Unit: eV per atom
D(E_F)
In order: 10.360, 20.431, 8.501, 1.997, 3.843, 0.555
Unit: states/eV/f.u.